# 1
Material: TcOsCl2
Method: DFT, GGA-PBE
State: relaxed

Summary:
E_tot ... -21.3 eV for the cell shown
DOS(E_F) ... 4.4 states/eV per cell
Formation energy without anion corrections ... 0.9892 eV per atom
SG ... Cmmm

Unit cell a=2.955 b=2.955 c=8.884 alpha=90.00 beta=90.00 gamma=123.02
Positions (direct):
Tc1 0.000 0.000 0.000
Os1 0.000 0.000 0.500
Cl1 0.500 0.500 0.222
Cl2 0.500 0.500 0.778



# 2
Material: TcOsCl2
Method: DFT, GGA-PBE
State: relaxed

Summary:
E_tot ... -19.6 eV for the cell shown
DOS(E_F) ... 4.7 states/eV per cell
Formation energy without anion corrections ... 1.4191 eV per atom
SG ... P4/mmm

Unit cell a=4.341 b=4.341 c=3.098 alpha=90.00 beta=90.00 gamma=90.00
Positions (direct):
Tc1 0.000 0.000 0.000
Os1 0.500 0.500 0.000
Cl1 0.000 0.500 0.500
Cl2 0.500 0.000 0.500



# 3
Material: TcOsCl2
Method: DFT, GGA-PBE
State: relaxed

Summary:
E_tot ... -23.4 eV for the cell shown
DOS(E_F) ... 3.5 states/eV per cell
Formation energy without anion corrections ... 0.4735 eV per atom
SG ... C2/m

Unit cell a=6.665 b=6.665 c=4.633 alpha=96.11 beta=96.11 gamma=25.18
Positions (direct):
Tc1 0.000 0.000 0.000
Os1 0.500 0.500 0.500
Cl1 0.362 0.362 0.787
Cl2 0.638 0.638 0.213



# 4
Material: TcTeOsCl2
Method: DFT, GGA-PBE
State: relaxed

Summary:
E_tot ... -18.9 eV for the cell shown
DOS(E_F) ... 2.5 states/eV per cell
Formation energy without anion corrections ... 1.9009 eV per atom
SG ... P4/mmm

Unit cell a=5.375 b=5.375 c=5.134 alpha=90.00 beta=90.00 gamma=90.00
Positions (direct):
Tc1 0.000 0.000 0.000
Te1 0.000 0.000 0.500
Os1 0.500 0.500 0.000
Cl1 0.000 0.500 0.500
Cl2 0.500 0.000 0.500



# 5
Material: Th6TcOs2Cl3
Method: DFT, GGA-PBE
State: relaxed

Summary:
E_tot ... -92.9 eV for the cell shown
DOS(E_F) ... 7.9 states/eV per cell
Formation energy without anion corrections ... -0.8369 eV per atom
SG ... C2/m

Unit cell a=9.966 b=9.966 c=8.996 alpha=108.85 beta=108.85 gamma=24.13
Positions (direct):
Th1 0.012 0.012 0.217
Th2 0.321 0.321 0.450
Th3 0.348 0.348 0.887
Th4 0.652 0.652 0.113
Th5 0.679 0.679 0.550
Th6 0.988 0.988 0.783
Tc1 0.500 0.500 0.000
Os1 0.167 0.167 0.332
Os2 0.833 0.833 0.668
Cl1 0.163 0.163 0.826
Cl2 0.500 0.500 0.500
Cl3 0.837 0.837 0.174



# 6
Material: TlTc2OsCl
Method: DFT, GGA-PBE
State: relaxed

Summary:
E_tot ... -29.2 eV for the cell shown
DOS(E_F) ... 5.5 states/eV per cell
Formation energy without anion corrections ... 1.3902 eV per atom
SG ... P4/mmm

Unit cell a=4.815 b=4.815 c=4.989 alpha=90.00 beta=90.00 gamma=90.00
Positions (direct):
Tl1 0.000 0.000 0.000
Tc1 0.000 0.500 0.500
Tc2 0.500 0.000 0.500
Os1 0.500 0.500 0.500
Cl1 0.500 0.500 0.000



# 7
Material: VTcOs2Cl
Method: DFT, GGA-PBE
State: relaxed

Summary:
E_tot ... -34.0 eV for the cell shown
DOS(E_F) ... 6.3 states/eV per cell
Formation energy without anion corrections ... 1.9635 eV per atom
SG ... P4/mmm

Unit cell a=4.576 b=4.576 c=4.637 alpha=90.00 beta=90.00 gamma=90.00
Positions (direct):
V1 0.000 0.000 0.000
Tc1 0.000 0.000 0.500
Os1 0.000 0.500 0.000
Os2 0.500 0.000 0.000
Cl1 0.500 0.500 0.500



# 8
Material: YTc2OsCl
Method: DFT, GGA-PBE
State: relaxed

Summary:
E_tot ... -36.3 eV for the cell shown
DOS(E_F) ... 3.8 states/eV per cell
Formation energy without anion corrections ... 0.7886 eV per atom
SG ... P4/mmm

Unit cell a=4.433 b=4.433 c=4.486 alpha=90.00 beta=90.00 gamma=90.00
Positions (direct):
Y1 0.000 0.000 0.000
Tc1 0.000 0.500 0.500
Tc2 0.500 0.000 0.500
Os1 0.500 0.500 0.000
Cl1 0.500 0.500 0.500



# 9
Material: YTc2OsCl
Method: DFT, GGA-PBE
State: relaxed

Summary:
E_tot ... -35.4 eV for the cell shown
DOS(E_F) ... 6.3 states/eV per cell
Formation energy without anion corrections ... 0.9656 eV per atom
SG ... P4/mmm

Unit cell a=4.335 b=4.335 c=4.875 alpha=90.00 beta=90.00 gamma=90.00
Positions (direct):
Y1 0.000 0.000 0.000
Tc1 0.000 0.500 0.500
Tc2 0.500 0.000 0.500
Os1 0.500 0.500 0.000
Cl1 0.000 0.000 0.500



# 10
Material: Te2OsCl
Method: DFT, GGA-PBE
State: relaxed

Summary:
E_tot ... -15.6 eV for the cell shown
DOS(E_F) ... 3.0 states/eV per cell
Formation energy without anion corrections ... 0.9284 eV per atom
SG ... Cmmm

Unit cell a=5.187 b=5.187 c=3.338 alpha=90.00 beta=90.00 gamma=110.74
Positions (direct):
Te1 0.000 0.500 0.000
Te2 0.500 0.000 0.000
Os1 0.000 0.000 0.500
Cl1 0.500 0.500 0.500



# 11
Material: Te2OsCl
Method: DFT, GGA-PBE
State: relaxed

Summary:
E_tot ... -18.4 eV for the cell shown
DOS(E_F) ... 3.1 states/eV per cell
Formation energy without anion corrections ... 0.2404 eV per atom
SG ... P4/mmm

Unit cell a=3.245 b=3.245 c=8.182 alpha=90.00 beta=90.00 gamma=90.00
Positions (direct):
Te1 0.000 0.000 0.210
Te2 0.000 0.000 0.790
Os1 0.500 0.500 0.000
Cl1 0.500 0.500 0.500



# 12
Material: Te2OsCl
Method: DFT, GGA-PBE
State: relaxed

Summary:
E_tot ... -15.5 eV for the cell shown
DOS(E_F) ... 4.6 states/eV per cell
Formation energy without anion corrections ... 0.9739 eV per atom
SG ... Pmmm

Unit cell a=3.172 b=4.429 c=7.553 alpha=90.00 beta=90.00 gamma=90.00
Positions (direct):
Te1 0.000 0.000 0.000
Te2 0.500 0.000 0.500
Os1 0.000 0.500 0.500
Cl1 0.500 0.500 0.000



# 13
Material: Te2OsCl
Method: DFT, GGA-PBE
State: relaxed

Summary:
E_tot ... -18.1 eV for the cell shown
DOS(E_F) ... 2.9 states/eV per cell
Formation energy without anion corrections ... 0.3170 eV per atom
SG ... Imm2

Unit cell a=7.001 b=7.001 c=7.001 alpha=151.57 beta=139.24 gamma=50.44
Positions (direct):
Te1 0.000 0.000 0.000
Te2 0.638 0.138 0.500
Os1 0.154 0.654 0.500
Cl1 0.310 0.310 0.000



# 14
Material: TeOs3Cl
Method: DFT, GGA-PBE
State: relaxed

Summary:
E_tot ... -28.4 eV for the cell shown
DOS(E_F) ... 5.4 states/eV per cell
Formation energy without anion corrections ... 2.0549 eV per atom
SG ... Pm-3m

Unit cell a=4.465 b=4.465 c=4.465 alpha=90.00 beta=90.00 gamma=90.00
Positions (direct):
Te1 0.000 0.000 0.000
Os1 0.000 0.500 0.500
Os2 0.500 0.000 0.500
Os3 0.500 0.500 0.000
Cl1 0.500 0.500 0.500



# 15
Material: Te2OsCl
Method: DFT, GGA-PBE
State: relaxed

Summary:
E_tot ... -18.6 eV for the cell shown
DOS(E_F) ... 2.3 states/eV per cell
Formation energy without anion corrections ... 0.1953 eV per atom
SG ... Cm

Unit cell a=6.563 b=6.563 c=5.995 alpha=115.84 beta=115.84 gamma=31.26
Positions (direct):
Te1 0.000 0.000 0.000
Te2 0.144 0.144 0.695
Os1 0.487 0.487 0.669
Cl1 0.847 0.847 0.376